# 1
VASP calculation (PBE) on a relaxed ZrSb2P crystal.

Calculated values
Its space-group type is R-3m (166).

a = 7.8840 Å, b = 7.8840 Å, c = 7.8840 Å
α = 27.46°, β = 27.46°, γ = 27.46°
Last column: nearest neighbours and their distance in Å.
Element x y z (fractional)
Zr1 0.0000 0.0000 0.0000  6 Sb 3.00
Sb1 0.2421 0.2421 0.2421  3 P 2.76, 3 Zr 3.00
Sb2 0.7579 0.7579 0.7579  3 P 2.76, 3 Zr 3.00
P1 0.5000 0.5000 0.5000  6 Sb 2.76

---

# 2
VASP calculation (PBE) on a relaxed ZrSbP2 crystal.

Calculated values
Its space-group type is P4/mmm (123).

a = 3.4753 Å, b = 3.4753 Å, c = 6.4798 Å
α = 90.00°, β = 90.00°, γ = 90.00°
Last column: nearest neighbours and their distance in Å.
Element x y z (fractional)
Zr1 0.0000 0.0000 0.0000  8 P 2.73
Sb1 0.0000 0.0000 0.5000  8 P 3.20, 2 Zr 3.24, 4 Sb 3.48
P1 0.5000 0.5000 0.1834  1 P 2.38
P2 0.5000 0.5000 0.8166  1 P 2.38

---

# 3
VASP calculation (PBE) on a relaxed ZrSb2P crystal.

Calculated values
Its space-group type is Immm (71).

a = 5.5882 Å, b = 5.5882 Å, c = 5.5882 Å
α = 141.07°, β = 127.63°, γ = 67.14°
Last column: nearest neighbours and their distance in Å.
Element x y z (fractional)
Zr1 0.0000 0.0000 0.0000  4 P 3.09, 8 Sb 3.19-3.21
Sb1 0.2787 0.7787 0.5000  2 P 2.78
Sb2 0.7213 0.2213 0.5000  2 P 2.78
P1 0.5000 0.5000 0.0000  4 Sb 2.78, 4 Zr 3.09

---

# 4
VASP calculation (PBE) on a relaxed Zr2SbP crystal.

Calculated values
Its space-group type is Immm (71).

a = 5.1729 Å, b = 5.1729 Å, c = 5.1729 Å
α = 135.81°, β = 116.97°, γ = 80.18°
Last column: nearest neighbours and their distance in Å.
Element x y z (fractional)
Zr1 0.2127 0.2127 0.0000  2 P 2.57
Zr2 0.7873 0.7873 0.0000  2 P 2.57
Sb1 0.5000 0.0000 0.5000  8 Zr 2.99-3.19, 4 P 3.33
P1 0.0000 0.5000 0.5000  4 Zr 2.57

---

# 5
VASP calculation (PBE) on a relaxed Zr4SbP crystal.

Calculated values
Its space-group type is F-43m (216).

a = 5.7298 Å, b = 5.7298 Å, c = 5.7298 Å
α = 60.00°, β = 60.00°, γ = 60.00°
Last column: nearest neighbours and their distance in Å.
Element x y z (fractional)
Zr1 0.1252 0.1252 0.1252  6 Zr 2.86-2.87
Zr2 0.1252 0.1252 0.6245  6 Zr 2.86-2.87
Zr3 0.1252 0.6245 0.1252  6 Zr 2.86-2.87
Zr4 0.6245 0.1252 0.1252  6 Zr 2.86-2.87
Sb1 0.5000 0.5000 0.5000  12 Zr 3.36, 4 P 3.51
P1 0.7500 0.7500 0.7500  12 Zr 3.36, 4 Sb 3.51

---

# 6
VASP calculation (PBE) on a relaxed Zr2SbP crystal.

Calculated values
Its space-group type is P4/mmm (123).

a = 4.8102 Å, b = 4.8102 Å, c = 3.4965 Å
α = 90.00°, β = 90.00°, γ = 90.00°
Last column: nearest neighbours and their distance in Å.
Element x y z (fractional)
Zr1 0.0000 0.5000 0.0000  4 Sb 2.97, 4 P 2.97
Zr2 0.5000 0.0000 0.0000  4 Sb 2.97, 4 P 2.97
Sb1 0.0000 0.0000 0.5000  8 Zr 2.97
P1 0.5000 0.5000 0.5000  8 Zr 2.97

---

Number 1: M_tot 0.000 μB per atom, E -22.22 eV for the cell shown. Number 2: M_tot 0.000 μB per atom, E -25.33 eV for the cell shown. Number 3: M_tot 0.000 μB per atom, E -22.89 eV for the cell shown. Number 4: M_tot 0.000 μB per atom, E -29.51 eV for the cell shown. Number 5: M_tot 0.000 μB per atom, E -42.83 eV for the cell shown. Number 6: M_tot 0.000 μB per atom, E -29.03 eV for the cell shown.